(1)
## La2ScSbC (PBE)

Data for an optimized crystal structure of La2ScSbC.

Cell lengths 5.2616, 5.2616, 4.5398 Å; angles 90.00, 90.00, 90.00 degrees
Last column: nearest neighbours and their distance in Å.
Fractional coordinates of all 5 atoms:
La1 0.0000 0.5000 0.0000  2 C 2.63
La2 0.5000 0.0000 0.0000  2 C 2.63
Sc1 0.0000 0.0000 0.5000  2 C 2.27
Sb1 0.5000 0.5000 0.5000  8 La 3.47, 4 Sc 3.72
C1 0.0000 0.0000 0.0000  2 Sc 2.27

As for the uncorrected formation energy: -0.592 eV per atom. The value obtained for the calculated total energy is -6.499 eV/atom.

---

(2)
## HoMg2Pt3 (PBE)

Data for an optimized crystal structure of HoMg2Pt3.

Cell lengths 3.3855, 3.3855, 9.2967 Å; angles 90.00, 90.00, 90.00 degrees
Last column: nearest neighbours and their distance in Å.
Fractional coordinates of all 6 atoms:
Ho1 0.0000 0.0000 0.0000  8 Pt 2.94, 2 Mg 3.21
Mg1 0.0000 0.0000 0.3448  8 Pt 2.80-2.83, 1 Mg 2.89
Mg2 0.0000 0.0000 0.6552  8 Pt 2.80-2.83, 1 Mg 2.89
Pt1 0.5000 0.5000 0.1827  4 Mg 2.83, 4 Ho 2.94, 1 Pt 2.95
Pt2 0.5000 0.5000 0.5000  8 Mg 2.80, 2 Pt 2.95
Pt3 0.5000 0.5000 0.8173  4 Mg 2.83, 4 Ho 2.94, 1 Pt 2.95

Its formation energy is -980 meV per atom. The value obtained for the calculated total energy is -5.295 eV/atom. As for the energy above the most stable polymorph in this dataset: 0 meV/atom.